The following is a PBE calculation of a relaxed structure of EuDyAlIn, from the Alexandria database.

Unit cell a=5.331 b=5.331 c=5.331 alpha=60.00 beta=60.00 gamma=60.00
Site moments in Bohr magnetons follow the coordinates.
Atoms (fractional coordinates):
Eu (0.250, 0.250, 0.250)  6.80
In (0.500, 0.500, 0.500)  -0.01
Al (0.000, 0.000, 0.000)  -0.01
Dy (0.750, 0.750, 0.750)  0.05

Density: 7.07 g cm⁻³
Fermi-level density of states: 1.780 states/eV per atom
Formation energy from the elements: -0.3462 eV per atom